(1)
Entry from Alexandria: LaAsI2N after structural relaxation (PBE). Values from VASP.

Computed properties:
Formation energy without anion corrections in eV per atom: 0.047
E above lowest polymorph in meV/atom: 0
Calculated density in Mg/m³: 5.7
E in eV/atom: -4.15

Structure (Quantum ESPRESSO input):
```
&SYSTEM
  ibrav = 0, nat = 5, ntyp = 4
/
ATOMIC_SPECIES
La 138.91 La.upf
As 74.92 As.upf
I 126.90 I.upf
N 14.01 N.upf
CELL_PARAMETERS angstrom
6.101 0.000 0.000
0.000 6.101 0.000
0.000 0.000 3.762
ATOMIC_POSITIONS crystal
La 0.000 0.000 0.000
As 0.500 0.500 0.500
I 0.000 0.500 0.500
I 0.500 0.000 0.500
N 0.500 0.500 0.000
```

(2)
Entry from Alexandria: LaNdAsI after structural relaxation (PBE). Values from VASP.

Computed properties:
Formation energy without anion corrections in eV per atom: -1.351
Calculated density in Mg/m³: 6.4
E in eV/atom: -5.33

Structure (Quantum ESPRESSO input):
```
&SYSTEM
  ibrav = 0, nat = 4, ntyp = 4
/
ATOMIC_SPECIES
La 138.91 La.upf
Nd 144.24 Nd.upf
As 74.92 As.upf
I 126.90 I.upf
CELL_PARAMETERS angstrom
2.145 1.238 7.911
-2.145 1.238 7.911
0.000 -2.477 7.911
ATOMIC_POSITIONS crystal
La 0.000 0.000 0.000
Nd 0.199 0.199 0.199
As 0.597 0.597 0.597
I 0.769 0.769 0.769
```

(3)
Entry from Alexandria: La8NiAs3I4 after structural relaxation (PBE). Values from VASP.

Computed properties:
Formation energy without anion corrections in eV per atom: -1.223
Calculated density in Mg/m³: 6.1
E in eV/atom: -5.31

Structure (Quantum ESPRESSO input):
```
&SYSTEM
  ibrav = 0, nat = 16, ntyp = 4
/
ATOMIC_SPECIES
La 138.91 La.upf
Ni 58.69 Ni.upf
As 74.92 As.upf
I 126.90 I.upf
CELL_PARAMETERS angstrom
7.614 -4.395 0.000
7.614 4.395 0.000
-5.076 0.000 7.754
ATOMIC_POSITIONS crystal
La 0.225 0.748 0.698
La 0.226 0.226 0.698
La 0.252 0.775 0.302
La 0.266 0.266 0.296
La 0.734 0.734 0.704
La 0.748 0.225 0.698
La 0.774 0.774 0.302
La 0.775 0.252 0.302
Ni 0.000 0.000 0.500
As 0.000 0.500 0.500
As 0.500 0.000 0.500
As 0.500 0.500 0.500
I 0.000 0.000 0.000
I 0.000 0.500 0.000
I 0.500 0.000 0.000
I 0.500 0.500 0.000
```

(4)
Entry from Alexandria: La4NiAsI2 after structural relaxation (PBE). Values from VASP.

Computed properties:
Formation energy without anion corrections in eV per atom: -1.038
Calculated density in Mg/m³: 6.1
E in eV/atom: -5.19

Structure (Quantum ESPRESSO input):
```
&SYSTEM
  ibrav = 0, nat = 8, ntyp = 4
/
ATOMIC_SPECIES
La 138.91 La.upf
Ni 58.69 Ni.upf
As 74.92 As.upf
I 126.90 I.upf
CELL_PARAMETERS angstrom
7.797 0.000 0.000
0.000 4.191 0.000
-2.390 0.000 7.840
ATOMIC_POSITIONS crystal
La 0.209 0.000 0.189
La 0.264 0.500 0.794
La 0.736 0.500 0.206
La 0.791 0.000 0.811
Ni 0.000 0.500 0.000
As 0.500 0.000 0.000
I 0.000 0.000 0.500
I 0.500 0.500 0.500
```

(5)
Entry from Alexandria: LaAsIO4 after structural relaxation (PBE). Values from VASP.

Computed properties:
Formation energy without anion corrections in eV per atom: -1.906
Calculated density in Mg/m³: 4.8
E in eV/atom: -6.33

Structure (Quantum ESPRESSO input):
```
&SYSTEM
  ibrav = 0, nat = 14, ntyp = 4
/
ATOMIC_SPECIES
La 138.91 La.upf
As 74.92 As.upf
I 126.90 I.upf
O 16.00 O.upf
CELL_PARAMETERS angstrom
6.046 -3.338 0.000
6.046 3.338 0.000
-1.389 0.000 6.948
ATOMIC_POSITIONS crystal
La 0.201 0.201 0.316
La 0.799 0.799 0.684
As 0.135 0.135 0.752
As 0.865 0.865 0.248
I 0.472 0.472 0.808
I 0.528 0.528 0.192
O 0.008 0.008 0.272
O 0.020 0.621 0.373
O 0.199 0.199 0.989
O 0.379 0.980 0.627
O 0.621 0.020 0.373
O 0.801 0.801 0.011
O 0.980 0.379 0.627
O 0.992 0.992 0.728
```

(6)
Entry from Alexandria: La6AsOs2I3 after structural relaxation (PBE). Values from VASP.

Computed properties:
Formation energy without anion corrections in eV per atom: -0.943
Calculated density in Mg/m³: 7.0
E in eV/atom: -6.05

Structure (Quantum ESPRESSO input):
```
&SYSTEM
  ibrav = 0, nat = 12, ntyp = 4
/
ATOMIC_SPECIES
La 138.91 La.upf
As 74.92 As.upf
Os 190.23 Os.upf
I 126.90 I.upf
CELL_PARAMETERS angstrom
3.762 -6.482 0.000
3.762 6.482 0.000
-2.555 0.000 8.083
ATOMIC_POSITIONS crystal
La 0.088 0.442 0.810
La 0.208 0.208 0.187
La 0.442 0.088 0.810
La 0.558 0.912 0.190
La 0.792 0.792 0.813
La 0.912 0.558 0.190
As 0.500 0.500 0.000
Os 0.167 0.833 0.000
Os 0.833 0.167 0.000
I 0.000 0.000 0.500
I 0.338 0.662 0.500
I 0.662 0.338 0.500
```

(7)
Entry from Alexandria: La8As3OsI4 after structural relaxation (PBE). Values from VASP.

Computed properties:
Formation energy without anion corrections in eV per atom: -1.225
Calculated density in Mg/m³: 6.4
E in eV/atom: -5.65

Structure (Quantum ESPRESSO input):
```
&SYSTEM
  ibrav = 0, nat = 16, ntyp = 4
/
ATOMIC_SPECIES
La 138.91 La.upf
As 74.92 As.upf
Os 190.23 Os.upf
I 126.90 I.upf
CELL_PARAMETERS angstrom
4.412 2.547 7.768
-4.412 2.547 7.768
0.000 -5.094 7.768
ATOMIC_POSITIONS crystal
La 0.235 0.235 0.235
La 0.250 0.723 0.723
La 0.277 0.277 0.750
La 0.277 0.750 0.277
La 0.723 0.250 0.723
La 0.723 0.723 0.250
La 0.750 0.277 0.277
La 0.765 0.765 0.765
As 0.000 0.000 0.500
As 0.000 0.500 0.000
As 0.500 0.000 0.000
Os 0.500 0.500 0.500
I 0.000 0.000 0.000
I 0.000 0.500 0.500
I 0.500 0.000 0.500
I 0.500 0.500 0.000
```

(8)
Entry from Alexandria: La8AsP3I4 after structural relaxation (PBE). Values from VASP.

Computed properties:
Formation energy without anion corrections in eV per atom: -1.448
Calculated density in Mg/m³: 5.8
E in eV/atom: -5.60

Structure (Quantum ESPRESSO input):
```
&SYSTEM
  ibrav = 0, nat = 16, ntyp = 4
/
ATOMIC_SPECIES
La 138.91 La.upf
As 74.92 As.upf
P 30.97 P.upf
I 126.90 I.upf
CELL_PARAMETERS angstrom
4.343 2.507 7.777
-4.343 2.507 7.777
0.000 -5.015 7.777
ATOMIC_POSITIONS crystal
La 0.223 0.736 0.736
La 0.231 0.231 0.231
La 0.264 0.264 0.777
La 0.264 0.777 0.264
La 0.736 0.223 0.736
La 0.736 0.736 0.223
La 0.769 0.769 0.769
La 0.777 0.264 0.264
As 0.500 0.500 0.500
P 0.000 0.000 0.500
P 0.000 0.500 0.000
P 0.500 0.000 0.000
I 0.000 0.000 0.000
I 0.000 0.500 0.500
I 0.500 0.000 0.500
I 0.500 0.500 0.000
```

(9)
Entry from Alexandria: La6As3P2I after structural relaxation (PBE). Values from VASP.

Computed properties:
Formation energy without anion corrections in eV per atom: -1.532
Calculated density in Mg/m³: 5.8
E in eV/atom: -6.19

Structure (Quantum ESPRESSO input):
```
&SYSTEM
  ibrav = 0, nat = 12, ntyp = 4
/
ATOMIC_SPECIES
La 138.91 La.upf
As 74.92 As.upf
P 30.97 P.upf
I 126.90 I.upf
CELL_PARAMETERS angstrom
9.502 -2.181 0.000
9.502 2.181 0.000
-1.955 0.000 8.578
ATOMIC_POSITIONS crystal
La 0.004 0.004 0.276
La 0.323 0.323 0.903
La 0.331 0.331 0.421
La 0.669 0.669 0.579
La 0.677 0.677 0.097
La 0.996 0.996 0.724
As 0.162 0.162 0.835
As 0.500 0.500 0.500
As 0.838 0.838 0.165
P 0.167 0.167 0.333
P 0.833 0.833 0.667
I 0.500 0.500 0.000
```

(10)
Entry from Alexandria: La8As3PI4 after structural relaxation (PBE). Values from VASP.

Computed properties:
Formation energy without anion corrections in eV per atom: -1.422
Calculated density in Mg/m³: 6.0
E in eV/atom: -5.48

Structure (Quantum ESPRESSO input):
```
&SYSTEM
  ibrav = 0, nat = 16, ntyp = 4
/
ATOMIC_SPECIES
La 138.91 La.upf
As 74.92 As.upf
P 30.97 P.upf
I 126.90 I.upf
CELL_PARAMETERS angstrom
4.397 2.538 7.735
-4.397 2.538 7.735
0.000 -5.077 7.735
ATOMIC_POSITIONS crystal
La 0.233 0.233 0.233
La 0.244 0.727 0.727
La 0.273 0.273 0.756
La 0.273 0.756 0.273
La 0.727 0.244 0.727
La 0.727 0.727 0.244
La 0.756 0.273 0.273
La 0.767 0.767 0.767
As 0.000 0.000 0.500
As 0.000 0.500 0.000
As 0.500 0.000 0.000
P 0.500 0.500 0.500
I 0.000 0.000 0.000
I 0.000 0.500 0.500
I 0.500 0.000 0.500
I 0.500 0.500 0.000
```

(11)
Entry from Alexandria: La6As2P3I after structural relaxation (PBE). Values from VASP.

Computed properties:
Formation energy without anion corrections in eV per atom: -1.547
Calculated density in Mg/m³: 5.7
E in eV/atom: -6.27

Structure (Quantum ESPRESSO input):
```
&SYSTEM
  ibrav = 0, nat = 12, ntyp = 4
/
ATOMIC_SPECIES
La 138.91 La.upf
As 74.92 As.upf
P 30.97 P.upf
I 126.90 I.upf
CELL_PARAMETERS angstrom
9.504 -2.165 0.000
9.504 2.165 0.000
-2.088 0.000 8.530
ATOMIC_POSITIONS crystal
La 0.002 0.002 0.221
La 0.323 0.323 0.414
La 0.334 0.334 0.915
La 0.666 0.666 0.085
La 0.677 0.677 0.586
La 0.998 0.998 0.779
As 0.165 0.165 0.830
As 0.835 0.835 0.170
P 0.164 0.164 0.334
P 0.500 0.500 0.000
P 0.836 0.836 0.666
I 0.500 0.500 0.500
```

(12)
Entry from Alexandria: La8As3PbI4 after structural relaxation (PBE). Values from VASP.

Computed properties:
Formation energy without anion corrections in eV per atom: -1.265
Calculated density in Mg/m³: 6.3
E in eV/atom: -5.22

Structure (Quantum ESPRESSO input):
```
&SYSTEM
  ibrav = 0, nat = 16, ntyp = 4
/
ATOMIC_SPECIES
La 138.91 La.upf
As 74.92 As.upf
Pb 207.20 Pb.upf
I 126.90 I.upf
CELL_PARAMETERS angstrom
4.488 2.591 7.703
-4.488 2.591 7.703
0.000 -5.182 7.703
ATOMIC_POSITIONS crystal
La 0.218 0.745 0.745
La 0.233 0.233 0.233
La 0.255 0.255 0.782
La 0.255 0.782 0.255
La 0.745 0.218 0.745
La 0.745 0.745 0.218
La 0.767 0.767 0.767
La 0.782 0.255 0.255
As 0.000 0.000 0.500
As 0.000 0.500 0.000
As 0.500 0.000 0.000
Pb 0.500 0.500 0.500
I 0.000 0.000 0.000
I 0.000 0.500 0.500
I 0.500 0.000 0.500
I 0.500 0.500 0.000
```

(13)
Entry from Alexandria: La8As3PdI4 after structural relaxation (PBE). Values from VASP.

Computed properties:
Formation energy without anion corrections in eV per atom: -1.265
Calculated density in Mg/m³: 6.2
E in eV/atom: -5.31

Structure (Quantum ESPRESSO input):
```
&SYSTEM
  ibrav = 0, nat = 16, ntyp = 4
/
ATOMIC_SPECIES
La 138.91 La.upf
As 74.92 As.upf
Pd 106.42 Pd.upf
I 126.90 I.upf
CELL_PARAMETERS angstrom
4.417 2.550 7.669
-4.417 2.550 7.669
0.000 -5.101 7.669
ATOMIC_POSITIONS crystal
La 0.235 0.235 0.235
La 0.237 0.734 0.734
La 0.266 0.266 0.763
La 0.266 0.763 0.266
La 0.734 0.237 0.734
La 0.734 0.734 0.237
La 0.763 0.266 0.266
La 0.765 0.765 0.765
As 0.000 0.000 0.500
As 0.000 0.500 0.000
As 0.500 0.000 0.000
Pd 0.500 0.500 0.500
I 0.000 0.000 0.000
I 0.000 0.500 0.500
I 0.500 0.000 0.500
I 0.500 0.500 0.000
```

(14)
Entry from Alexandria: La4AsPdI2 after structural relaxation (PBE). Values from VASP.

Computed properties:
Formation energy without anion corrections in eV per atom: -1.144
Calculated density in Mg/m³: 6.3
E in eV/atom: -5.23

Structure (Quantum ESPRESSO input):
```
&SYSTEM
  ibrav = 0, nat = 8, ntyp = 4
/
ATOMIC_SPECIES
La 138.91 La.upf
As 74.92 As.upf
Pd 106.42 Pd.upf
I 126.90 I.upf
CELL_PARAMETERS angstrom
7.868 0.000 0.000
0.000 4.270 0.000
-2.405 0.000 7.726
ATOMIC_POSITIONS crystal
La 0.224 0.000 0.199
La 0.270 0.500 0.789
La 0.730 0.500 0.211
La 0.776 0.000 0.801
As 0.500 0.000 0.000
Pd 0.000 0.500 0.000
I 0.000 0.000 0.500
I 0.500 0.500 0.500
```

(15)
Entry from Alexandria: La8AsPd3I4 after structural relaxation (PBE). Values from VASP.

Computed properties:
Formation energy without anion corrections in eV per atom: -1.027
Calculated density in Mg/m³: 6.4
E in eV/atom: -5.14

Structure (Quantum ESPRESSO input):
```
&SYSTEM
  ibrav = 0, nat = 16, ntyp = 4
/
ATOMIC_SPECIES
La 138.91 La.upf
As 74.92 As.upf
Pd 106.42 Pd.upf
I 126.90 I.upf
CELL_PARAMETERS angstrom
7.556 -4.359 0.000
7.556 4.359 0.000
-5.038 0.000 7.945
ATOMIC_POSITIONS crystal
La 0.231 0.231 0.693
La 0.233 0.736 0.705
La 0.264 0.264 0.295
La 0.264 0.767 0.295
La 0.736 0.233 0.705
La 0.736 0.736 0.705
La 0.767 0.264 0.295
La 0.769 0.769 0.307
As 0.500 0.500 0.500
Pd 0.000 0.000 0.500
Pd 0.000 0.500 0.500
Pd 0.500 0.000 0.500
I 0.000 0.000 0.000
I 0.000 0.500 0.000
I 0.500 0.000 0.000
I 0.500 0.500 0.000
```

(16)
Entry from Alexandria: La6AsPd2I3 after structural relaxation (PBE). Values from VASP.

Computed properties:
Formation energy without anion corrections in eV per atom: -1.062
Calculated density in Mg/m³: 6.4
E in eV/atom: -5.17

Structure (Quantum ESPRESSO input):
```
&SYSTEM
  ibrav = 0, nat = 12, ntyp = 4
/
ATOMIC_SPECIES
La 138.91 La.upf
As 74.92 As.upf
Pd 106.42 Pd.upf
I 126.90 I.upf
CELL_PARAMETERS angstrom
3.803 -6.580 0.000
3.803 6.580 0.000
-2.530 0.000 7.843
ATOMIC_POSITIONS crystal
La 0.092 0.431 0.798
La 0.228 0.228 0.201
La 0.431 0.092 0.798
La 0.569 0.908 0.202
La 0.772 0.772 0.799
La 0.908 0.569 0.202
As 0.500 0.500 0.000
Pd 0.168 0.832 0.000
Pd 0.832 0.168 0.000
I 0.000 0.000 0.500
I 0.338 0.662 0.500
I 0.662 0.338 0.500
```

(17)
Entry from Alexandria: La2PmAs2I2 after structural relaxation (PBE). Values from VASP.

Computed properties:
Formation energy without anion corrections in eV per atom: -1.194
Calculated density in Mg/m³: 5.4
E in eV/atom: -5.05

Structure (Quantum ESPRESSO input):
```
&SYSTEM
  ibrav = 0, nat = 7, ntyp = 4
/
ATOMIC_SPECIES
La 138.91 La.upf
Pm 145.00 Pm.upf
As 74.92 As.upf
I 126.90 I.upf
CELL_PARAMETERS angstrom
-2.778 2.778 8.302
2.778 -2.778 8.302
2.778 2.778 -8.302
ATOMIC_POSITIONS crystal
La 0.100 0.100 0.000
La 0.900 0.900 0.000
Pm 0.500 0.500 0.000
As 0.000 0.500 0.500
As 0.500 0.000 0.500
I 0.305 0.305 0.000
I 0.695 0.695 0.000
```

(18)
Entry from Alexandria: LaPmAsI after structural relaxation (PBE). Values from VASP.

Computed properties:
Formation energy without anion corrections in eV per atom: -1.348
Calculated density in Mg/m³: 6.5
E in eV/atom: -5.32

Structure (Quantum ESPRESSO input):
```
&SYSTEM
  ibrav = 0, nat = 4, ntyp = 4
/
ATOMIC_SPECIES
La 138.91 La.upf
Pm 145.00 Pm.upf
As 74.92 As.upf
I 126.90 I.upf
CELL_PARAMETERS angstrom
2.139 1.235 7.866
-2.139 1.235 7.866
0.000 -2.470 7.866
ATOMIC_POSITIONS crystal
La 0.000 0.000 0.000
Pm 0.801 0.801 0.801
As 0.404 0.404 0.404
I 0.231 0.231 0.231
```

(19)
Entry from Alexandria: LaPrAsI after structural relaxation (PBE). Values from VASP.

Computed properties:
Formation energy without anion corrections in eV per atom: -1.355
Calculated density in Mg/m³: 6.3
E in eV/atom: -5.33

Structure (Quantum ESPRESSO input):
```
&SYSTEM
  ibrav = 0, nat = 4, ntyp = 4
/
ATOMIC_SPECIES
La 138.91 La.upf
Pr 140.91 Pr.upf
As 74.92 As.upf
I 126.90 I.upf
CELL_PARAMETERS angstrom
2.151 1.242 7.956
-2.151 1.242 7.956
0.000 -2.484 7.956
ATOMIC_POSITIONS crystal
La 0.000 0.000 0.000
Pr 0.199 0.199 0.199
As 0.598 0.598 0.598
I 0.768 0.768 0.768
```

(20)
Entry from Alexandria: La2PrAs2I2 after structural relaxation (PBE). Values from VASP.

Computed properties:
Formation energy without anion corrections in eV per atom: -1.160
Calculated density in Mg/m³: 5.2
E in eV/atom: -5.02

Structure (Quantum ESPRESSO input):
```
&SYSTEM
  ibrav = 0, nat = 7, ntyp = 4
/
ATOMIC_SPECIES
La 138.91 La.upf
Pr 140.91 Pr.upf
As 74.92 As.upf
I 126.90 I.upf
CELL_PARAMETERS angstrom
-2.811 2.811 8.301
2.811 -2.811 8.301
2.811 2.811 -8.301
ATOMIC_POSITIONS crystal
La 0.100 0.100 0.000
La 0.900 0.900 0.000
Pr 0.500 0.500 0.000
As 0.000 0.500 0.500
As 0.500 0.000 0.500
I 0.303 0.303 0.000
I 0.697 0.697 0.000
```